Entry from the Alexandria database: a relaxed structure of Cs3Hg2Pd4 (GGA-PBE).

Summary:
Total DFT energy (no corrections) in eV/atom: -2.800
SG: C2/m (12)
Magnetic moment in μB per cell: 0.00
Crystal system: monoclinic

abc: 6.908 6.908 9.458
angles: 105.65 105.65 40.40
Fractional coordinates of all 9 atoms:
Cs  0.000  0.000  0.000
Cs  0.368  0.368  0.630
Cs  0.632  0.632  0.370
Hg  0.337  0.337  0.224
Hg  0.663  0.663  0.776
Pd  0.080  0.080  0.632
Pd  0.229  0.229  0.918
Pd  0.771  0.771  0.082
Pd  0.920  0.920  0.368

Entry from the Alexandria database: a relaxed structure of Ga3Co12Mo5 (GGA-PBE).

Summary:
Total DFT energy (no corrections) in eV/atom: -6.662
SG: Ia-3d (230)
Magnetic moment in μB per cell: 0.00
Crystal system: cubic

abc: 11.655 11.655 11.655
angles: 109.47 109.47 109.47
Fractional coordinates of all 80 atoms:
Ga  0.125  0.250  0.375
Ga  0.125  0.375  0.750
Ga  0.250  0.375  0.125
Ga  0.250  0.875  0.625
Ga  0.375  0.125  0.250
Ga  0.375  0.750  0.125
Ga  0.625  0.250  0.875
Ga  0.625  0.875  0.750
Ga  0.750  0.125  0.375
Ga  0.750  0.625  0.875
Ga  0.875  0.625  0.250
Ga  0.875  0.750  0.625
Co  0.068  0.233  0.136
Co  0.068  0.334  0.931
Co  0.069  0.636  0.403
Co  0.069  0.932  0.666
Co  0.097  0.733  0.666
Co  0.097  0.864  0.431
Co  0.136  0.068  0.233
Co  0.136  0.569  0.903
Co  0.166  0.233  0.597
Co  0.166  0.432  0.569
Co  0.233  0.136  0.068
Co  0.233  0.597  0.166
Co  0.267  0.334  0.903
Co  0.267  0.432  0.364
Co  0.334  0.903  0.267
Co  0.334  0.931  0.068
Co  0.364  0.267  0.432
Co  0.364  0.597  0.931
Co  0.403  0.069  0.636
Co  0.403  0.834  0.767
Co  0.431  0.097  0.864
Co  0.431  0.834  0.568
Co  0.432  0.364  0.267
Co  0.432  0.569  0.166
Co  0.568  0.431  0.834
Co  0.568  0.636  0.733
Co  0.569  0.166  0.432
Co  0.569  0.903  0.136
Co  0.597  0.166  0.233
Co  0.597  0.931  0.364
Co  0.636  0.403  0.069
Co  0.636  0.733  0.568
Co  0.666  0.069  0.932
Co  0.666  0.097  0.733
Co  0.733  0.568  0.636
Co  0.733  0.666  0.097
Co  0.767  0.403  0.834
Co  0.767  0.864  0.932
Co  0.834  0.568  0.431
Co  0.834  0.767  0.403
Co  0.864  0.431  0.097
Co  0.864  0.932  0.767
Co  0.903  0.136  0.569
Co  0.903  0.267  0.334
Co  0.931  0.068  0.334
Co  0.931  0.364  0.597
Co  0.932  0.666  0.069
Co  0.932  0.767  0.864
Mo  0.000  0.000  0.000
Mo  0.000  0.000  0.500
Mo  0.000  0.500  0.000
Mo  0.000  0.500  0.500
Mo  0.125  0.750  0.875
Mo  0.125  0.875  0.250
Mo  0.250  0.125  0.875
Mo  0.250  0.625  0.375
Mo  0.375  0.250  0.625
Mo  0.375  0.625  0.750
Mo  0.500  0.000  0.000
Mo  0.500  0.000  0.500
Mo  0.500  0.500  0.000
Mo  0.500  0.500  0.500
Mo  0.625  0.375  0.250
Mo  0.625  0.750  0.375
Mo  0.750  0.375  0.625
Mo  0.750  0.875  0.125
Mo  0.875  0.125  0.750
Mo  0.875  0.250  0.125

Entry from the Alexandria database: a relaxed structure of AcAg2I8 (GGA-PBE).

Summary:
Formation energy (no corrections) in eV/atom: -0.4022
SG: P-3m1 (164)
Magnetic moment in μB per cell: 0.01
Crystal system: trigonal

abc: 8.357 8.357 8.511
angles: 90.00 90.00 120.00
Fractional coordinates of all 11 atoms:
Ac  0.000  0.000  0.000
Ag  0.333  0.667  0.582
Ag  0.667  0.333  0.418
I  0.159  0.318  0.730
I  0.159  0.841  0.730
I  0.318  0.159  0.270
I  0.333  0.667  0.264
I  0.667  0.333  0.736
I  0.682  0.841  0.730
I  0.841  0.159  0.270
I  0.841  0.682  0.270

Entry from the Alexandria database: a relaxed structure of PmUGa5Ir2 (GGA-PBE).

Summary:
Total DFT energy (no corrections) in eV/atom: -5.623
SG: P4/mmm (123)
Magnetic moment in μB per cell: 3.21
Crystal system: tetragonal

abc: 4.766 4.766 7.875
angles: 90.00 90.00 90.00
Fractional coordinates of all 9 atoms:
Pm  0.000  0.000  0.000
U  0.000  0.000  0.500
Ga  0.000  0.500  0.254
Ga  0.000  0.500  0.746
Ga  0.500  0.000  0.254
Ga  0.500  0.000  0.746
Ga  0.500  0.500  0.000
Ir  0.500  0.500  0.326
Ir  0.500  0.500  0.674